# 1
First-principles (PBE-GGA) data for crystalline Rb4U3Te8Rh at its relaxed geometry, as listed in Alexandria.

abc: 10.014 10.014 10.014
angles: 52.29 52.29 52.29
Atoms (fractional coordinates):
1 Rb 0.000 0.000 0.000
2 Rb 0.000 0.500 0.500
3 Rb 0.500 0.000 0.500
4 Rb 0.500 0.500 0.000
5 U 0.000 0.000 0.500
6 U 0.000 0.500 0.000
7 U 0.500 0.000 0.000
8 Te 0.236 0.236 0.236
9 Te 0.254 0.717 0.717
10 Te 0.283 0.283 0.746
11 Te 0.283 0.746 0.283
12 Te 0.717 0.254 0.717
13 Te 0.717 0.717 0.254
14 Te 0.746 0.283 0.283
15 Te 0.764 0.764 0.764
16 Rh 0.500 0.500 0.500

Calculated values
Its density of states at the Fermi level is 1.40 states/eV per atom. For the final energy, the calculation gives -5.11 eV/atom. As for the symmetry: R-3m, No. 166. For the formation energy (no corrections), the calculation gives -0.72 eV/atom.

=====

# 2
First-principles (PBE-GGA) data for crystalline TlZn2Cd2 at its relaxed geometry, as listed in Alexandria.

abc: 6.900 6.900 6.900
angles: 143.36 143.36 52.79
Atoms (fractional coordinates):
1 Tl 0.000 0.000 0.000
2 Zn 0.400 0.400 0.000
3 Zn 0.600 0.600 0.000
4 Cd 0.250 0.750 0.500
5 Cd 0.750 0.250 0.500

Calculated values
Its density of states at the Fermi level is 0.40 states/eV per atom. As for the energy of formation from the pure elements: 9.35 kJ/mol of atoms. For the final energy, the calculation gives -1.25 eV/atom. As for the symmetry: I4/mmm, No. 139. As for the energy above the lowest structure with this stoichiometry: 4 meV per atom.

=====

# 3
First-principles (PBE-GGA) data for crystalline SrHg2Pb6 at its relaxed geometry, as listed in Alexandria.

abc: 6.379 6.379 10.480
angles: 112.87 112.87 45.84
Atoms (fractional coordinates):
1 Sr 0.000 0.000 0.000
2 Hg 0.337 0.337 0.780
3 Hg 0.663 0.663 0.220
4 Pb 0.003 0.003 0.658
5 Pb 0.324 0.324 0.432
6 Pb 0.332 0.332 0.110
7 Pb 0.668 0.668 0.890
8 Pb 0.676 0.676 0.568
9 Pb 0.997 0.997 0.342

Calculated values
Its density of states at the Fermi level is 0.46 states/eV per atom. As for the energy of formation from the pure elements: -13.61 kJ/mol of atoms. For the final energy, the calculation gives -2.87 eV/atom. As for the symmetry: C2/m, No. 12. As for the energy above the lowest structure with this stoichiometry: 0 meV per atom.